Record 1
This record from Alexandria describes crystalline NdLuMgAl at its relaxed geometry. The functional is PBE.

Geometry as extended XYZ:
```
4
Lattice="-5.2126 -0.2237 0.3567 -2.3046 -4.2513 1.9908 -2.3126 0.2310 4.6847" Properties=species:S:1:pos:R:3 pbc="T T T"
Nd -7.3724 -3.1830 5.2741
Lu -2.4575 -1.0610 1.7580
Al -4.9149 -2.1220 3.5161
Mg 0.0000 0.0000 0.0000
```


Record 2
This record from Alexandria describes crystalline PmLuMgAl at its relaxed geometry. The functional is PBE.

Geometry as extended XYZ:
```
4
Lattice="-1.0778 1.1480 -4.9657 -4.4129 -1.7169 -2.1717 -3.8244 3.3526 -1.1274" Properties=species:S:1:pos:R:3 pbc="T T T"
Pm -6.9863 2.0878 -6.1985
Al -4.6575 1.3918 -4.1324
Mg 0.0000 0.0000 0.0000
Lu -2.3288 0.6959 -2.0662
```


Number 1: calculated formation energy -23.9 kJ per mole of atoms. Number 2: calculated formation energy -24.4 kJ per mole of atoms.